Compound: MgPtPb
Source: the Open Quantum Materials Database
Functional: PBE
Structure: optimized geometry

Results
electronic total energy: -3.917 eV per atom
calculated volume: 22.1 Å³ per atom

Cell lengths 3.9371, 3.9371, 8.5510 Å; angles 90.00, 90.00, 90.00 degrees
Space group P4_2/mmc (No. 131)
One atom of each set of equivalent atoms:
Mg  0.0000  0.0000  0.2500
Pt  0.5000  0.5000  0.2500
Pb  0.0000  0.5000  0.0000

***

Compound: DyCl2O2
Source: the Open Quantum Materials Database
Functional: PBE
Structure: optimized geometry

Results
electronic total energy: -5.366 eV per atom
calculated volume: 26.1 Å³ per atom

Cell lengths 7.0301, 11.6745, 6.8416 Å; angles 90.00, 111.58, 90.00 degrees
Space group C2/m (No. 12)
One atom of each set of equivalent atoms:
Dy  0.0000  0.1700  0.0000
Cl  0.2008  0.2103  0.7403
O  0.0980  0.0000  0.2035
O  0.1997  0.0000  0.0692